# 1
5
Lattice="4.906 0.000 0.000 0.000 4.906 0.000 0.000 0.000 4.906" Properties=species:S:1:pos:R:3 comment="ScZnS3 PBE-GGA relaxed" spacegroup=Pm-3m relative_energy_mev_per_atom=0.0 magnetic_moment_mub_per_fu=0.000 e_form_raw_ev_per_atom=-0.271 final_energy_ha_per_atom=-0.1569 pbc="T T T"
Sc 0.000 0.000 0.000
Zn 2.453 2.453 2.453
S 0.000 0.000 2.453
S 0.000 2.453 0.000
S 2.453 0.000 0.000

# 2
28
Lattice="7.232 0.000 0.000 -3.616 6.263 0.000 0.000 0.000 17.686" Properties=species:S:1:pos:R:3 comment="Rb3Ru2Cl9 PBE-GGA relaxed" spacegroup=P6_3/mmc magnetic_moment_mub_per_fu=0.000 e_form_raw_ev_per_atom=-1.186 final_energy_ha_per_atom=-0.1435 pbc="T T T"
Rb 0.000 0.000 4.421
Rb 0.000 0.000 13.264
Rb 0.000 4.175 1.152
Rb 0.000 4.175 7.691
Rb 3.616 2.088 9.995
Rb 3.616 2.088 16.534
Ru 0.000 4.175 11.934
Ru 0.000 4.175 14.595
Ru 3.616 2.088 3.091
Ru 3.616 2.088 5.752
Cl -1.734 3.174 13.264
Cl 0.000 2.251 10.565
Cl 0.000 2.251 15.964
Cl -1.666 5.137 10.565
Cl -1.666 5.137 15.964
Cl 1.950 1.126 1.722
Cl 1.950 1.126 7.121
Cl 1.734 3.174 13.264
Cl 0.000 6.178 13.264
Cl 3.616 0.085 4.421
Cl 1.882 3.089 4.421
Cl 1.666 5.137 10.565
Cl 1.666 5.137 15.964
Cl 5.282 1.126 1.722
Cl 5.282 1.126 7.121
Cl 3.616 4.012 1.722
Cl 3.616 4.012 7.121
Cl 5.350 3.089 4.421